Compound: AlCr2Re
Source: Alexandria
Functional: GGA-PBE
Structure: optimized geometry

The energy relative to the elements comes out at -0.067 eV/atom.

It has space group Immm (No. 71), with a = 3.026 Å, b = 4.175 Å, c = 8.314 Å, α = 90.00°, β = 90.00° and γ = 90.00°. The asymmetric unit holds Al at (0.000, 0.000, 0.000), Cr at (0.000, 0.500, 0.241) and Re at (0.000, 0.000, 0.500).